Compound: Bi3TeAu
Source: Alexandria
Functional: SCAN
Structure: single point on PBEsol structure

**DOS at the Fermi energy**: 1.195 states/eV/atom
**Symmetry**: Pm-3m (221)

Cell lengths 5.466, 5.466, 5.466 Å; angles 90.00, 90.00, 90.00 degrees
Fractional positions:
1 Au 0.000 0.000 0.000
2 Te 0.500 0.500 0.500
3 Bi 0.000 0.000 0.500
4 Bi 0.500 0.000 0.000
5 Bi 0.000 0.500 0.000



Compound: SrZr3Ge
Source: Alexandria
Functional: SCAN
Structure: single point on PBEsol structure

**Calculated formation energy**: 0.242 eV/atom
**DOS at the Fermi energy**: 1.668 states/eV/atom
**Symmetry**: Pm-3m (221)

Cell lengths 5.167, 5.167, 5.167 Å; angles 90.00, 90.00, 90.00 degrees
Fractional positions:
1 Sr 0.500 0.500 0.500
2 Zr 0.500 0.000 0.000
3 Zr 0.000 0.500 0.000
4 Zr 0.000 0.000 0.500
5 Ge 0.000 0.000 0.000



Compound: Li8Sm7Ge10
Source: Alexandria
Functional: SCAN
Structure: single point on PBEsol structure

**Calculated formation energy**: -0.750 eV/atom
**DOS at the Fermi energy**: 0.165 states/eV/atom
**Symmetry**: Cmmm (65)

Cell lengths 4.334, 6.748, 16.729 Å; angles 101.64, 90.00, 90.00 degrees
Fractional positions:
1 Sm 0.500 0.279 0.558
2 Sm 0.000 0.557 0.113
3 Sm 0.500 0.161 0.323
4 Sm 0.500 0.839 0.677
5 Sm 0.000 0.000 0.000
6 Sm 0.000 0.443 0.887
7 Sm 0.500 0.721 0.442
8 Li 0.000 0.455 0.285
9 Li 0.500 0.885 0.151
10 Li 0.500 0.115 0.849
11 Li 0.000 0.169 0.715
12 Li 0.500 0.734 0.849
13 Li 0.000 0.545 0.715
14 Li 0.500 0.266 0.151
15 Li 0.000 0.831 0.285
16 Ge 0.000 0.094 0.188
17 Ge 0.500 0.626 0.253
18 Ge 0.500 0.313 0.000
19 Ge 0.000 0.906 0.812
20 Ge 0.500 0.374 0.747
21 Ge 0.000 0.600 0.571
22 Ge 0.500 0.687 0.000
23 Ge 0.000 0.400 0.429
24 Ge 0.000 0.970 0.571
25 Ge 0.000 0.030 0.429



Compound: CoAs2Se
Source: Alexandria
Functional: SCAN
Structure: single point on PBEsol structure

**DOS at the Fermi energy**: 0.752 states/eV/atom
**Symmetry**: Imm2 (44)

Cell lengths 3.254, 3.897, 6.006 Å; angles 108.93, 105.72, 90.00 degrees
Fractional positions:
1 As 0.833 0.333 0.667
2 As 0.991 0.991 0.982
3 Se 0.169 0.669 0.338
4 Co 0.507 0.507 0.013



Compound: SiP2H18C6Cl4
Source: Alexandria
Functional: SCAN
Structure: single point on PBEsol structure

**DOS at the Fermi energy**: 0.000 states/eV/atom
**Symmetry**: P2_1/c (14)

Cell lengths 6.633, 8.307, 13.089 Å; angles 90.00, 100.53, 90.00 degrees
Fractional positions:
1 H 0.543 0.434 0.295
2 H 0.067 0.308 0.799
3 H 0.117 0.119 0.431
4 H 0.543 0.066 0.795
5 H 0.611 0.245 0.730
6 H 0.910 0.034 0.337
7 H 0.523 0.238 0.977
8 H 0.737 0.149 0.543
9 H 0.263 0.649 0.957
10 H 0.233 0.566 0.763
11 H 0.090 0.534 0.163
12 H 0.910 0.466 0.837
13 H 0.596 0.076 0.421
14 H 0.117 0.381 0.931
15 H 0.883 0.881 0.569
16 H 0.767 0.434 0.237
17 H 0.883 0.619 0.069
18 H 0.477 0.738 0.523
19 H 0.457 0.566 0.705
20 H 0.404 0.924 0.579
21 H 0.389 0.755 0.270
22 H 0.404 0.576 0.079
23 H 0.933 0.692 0.201
24 H 0.090 0.966 0.663
25 H 0.457 0.934 0.205
26 H 0.233 0.934 0.263
27 H 0.477 0.762 0.023
28 H 0.767 0.066 0.737
29 H 0.737 0.351 0.043
30 H 0.389 0.745 0.770
31 H 0.263 0.851 0.457
32 H 0.611 0.255 0.230
33 H 0.067 0.192 0.299
34 H 0.596 0.424 0.921
35 H 0.523 0.262 0.477
36 H 0.933 0.808 0.701
37 C 0.997 0.145 0.363
38 C 0.003 0.645 0.137
39 C 0.330 0.640 0.722
40 C 0.670 0.140 0.778
41 C 0.997 0.355 0.863
42 C 0.348 0.684 0.034
43 C 0.330 0.860 0.222
44 C 0.670 0.360 0.278
45 C 0.348 0.816 0.534
46 C 0.652 0.316 0.966
47 C 0.652 0.184 0.466
48 C 0.003 0.855 0.637
49 Cl 0.171 0.192 0.100
50 Cl 0.171 0.308 0.600
51 Cl 0.769 0.993 0.103
52 Cl 0.231 0.493 0.397
53 Cl 0.829 0.808 0.900
54 Cl 0.769 0.507 0.603
55 Cl 0.231 0.007 0.897
56 Cl 0.829 0.692 0.400
57 P 0.176 0.793 0.101
58 P 0.176 0.707 0.601
59 P 0.824 0.207 0.899
60 P 0.824 0.293 0.399
61 Si 0.000 0.500 0.500
62 Si 0.000 0.000 0.000



Compound: SnPbF4
Source: Alexandria
Functional: SCAN
Structure: single point on PBEsol structure

**DOS at the Fermi energy**: 0.000 states/eV/atom
**Symmetry**: P4/nmm (129)

Cell lengths 4.302, 4.302, 10.239 Å; angles 90.00, 90.00, 90.00 degrees
Fractional positions:
1 Pb 0.500 0.000 0.377
2 Pb 0.000 0.500 0.623
3 Sn 0.000 0.500 0.128
4 Sn 0.500 0.000 0.872
5 F 0.000 0.000 0.500
6 F 0.500 0.500 0.808
7 F 0.000 0.000 0.808
8 F 0.500 0.500 0.192
9 F 0.000 0.000 0.192
10 F 0.500 0.500 0.500
11 F 0.000 0.500 0.333
12 F 0.500 0.000 0.667



Compound: Mg2In2Sn
Source: Alexandria
Functional: SCAN
Structure: single point on PBEsol structure

**Calculated formation energy**: -0.072 eV/atom
**DOS at the Fermi energy**: 0.353 states/eV/atom
**Symmetry**: P4/mbm (127)

Cell lengths 3.282, 8.516, 8.516 Å; angles 90.00, 90.00, 90.00 degrees
Fractional positions:
1 In 0.000 0.128 0.372
2 In 0.000 0.372 0.872
3 In 0.000 0.628 0.128
4 In 0.000 0.872 0.628
5 Sn 0.000 0.000 0.000
6 Sn 0.000 0.500 0.500
7 Mg 0.500 0.828 0.328
8 Mg 0.500 0.172 0.672
9 Mg 0.500 0.672 0.828
10 Mg 0.500 0.328 0.172



Compound: TiP3Ir
Source: Alexandria
Functional: SCAN
Structure: single point on PBEsol structure

**Calculated formation energy**: 0.725 eV/atom
**DOS at the Fermi energy**: 0.983 states/eV/atom
**Symmetry**: Pm-3m (221)

Cell lengths 4.567, 4.567, 4.567 Å; angles 90.00, 90.00, 90.00 degrees
Each line ends with the local moment (μB).
Fractional positions:
1 P 0.000 0.500 0.000  -0.05
2 P 0.500 0.000 0.000  -0.05
3 P 0.000 0.000 0.500  -0.05
4 Ir 0.000 0.000 0.000  0.12
5 Ti 0.500 0.500 0.500  1.56



Compound: Zn3P2H7O12
Source: Alexandria
Functional: SCAN
Structure: single point on PBEsol structure

**Symmetry**: P2_12_12_1 (19)

Cell lengths 4.899, 10.539, 18.145 Å; angles 90.00, 90.00, 90.00 degrees
Each line ends with the local moment (μB).
Fractional positions:
1 O 0.067 0.975 0.918  0.00
2 O 0.598 0.119 0.253  0.00
3 O 0.088 0.203 0.956  0.00
4 O 0.902 0.881 0.753  0.00
5 O 0.194 0.969 0.581  0.00
6 O 0.413 0.841 0.838  0.00
7 O 0.263 0.574 0.930  0.03
8 O 0.480 0.102 0.738  0.66
9 O 0.330 0.803 0.043  0.00
10 O 0.670 0.303 0.457  0.00
11 O 0.470 0.823 0.672  0.00
12 O 0.588 0.297 0.044  0.00
13 O 0.098 0.381 0.747  0.00
14 O 0.546 0.368 0.325  0.14
15 O 0.980 0.398 0.262  0.66
16 O 0.806 0.469 0.919  0.00
17 O 0.567 0.525 0.082  0.00
18 O 0.587 0.341 0.662  0.00
19 O 0.135 0.385 0.086  0.00
20 O 0.530 0.323 0.828  0.00
21 O 0.912 0.703 0.544  0.00
22 O 0.020 0.898 0.238  0.66
23 O 0.830 0.697 0.957  0.00
24 O 0.402 0.619 0.247  0.00
25 O 0.520 0.602 0.762  0.66
26 O 0.989 0.642 0.679  0.01
27 O 0.087 0.159 0.338  0.00
28 O 0.913 0.659 0.162  0.00
29 O 0.046 0.132 0.675  0.14
30 O 0.489 0.858 0.321  0.01
31 O 0.412 0.797 0.456  0.00
32 O 0.737 0.074 0.570  0.03
33 O 0.237 0.426 0.430  0.03
34 O 0.306 0.031 0.081  0.00
35 O 0.970 0.677 0.328  0.00
36 O 0.011 0.142 0.821  0.01
37 O 0.694 0.531 0.419  0.00
38 O 0.635 0.115 0.914  0.00
39 O 0.954 0.632 0.825  0.14
40 O 0.763 0.926 0.070  0.03
41 O 0.454 0.868 0.175  0.14
42 O 0.030 0.177 0.172  0.00
43 O 0.865 0.885 0.414  0.00
44 O 0.933 0.475 0.582  0.00
45 O 0.433 0.025 0.418  0.00
46 O 0.170 0.197 0.543  0.00
47 O 0.511 0.358 0.179  0.01
48 O 0.365 0.615 0.586  0.00
49 Zn 0.071 0.860 0.504  0.00
50 Zn 0.715 0.761 0.241  0.01
51 Zn 0.785 0.239 0.741  0.01
52 Zn 0.215 0.739 0.759  0.01
53 Zn 0.929 0.360 0.996  0.00
54 Zn 0.986 0.856 0.995  0.00
55 Zn 0.486 0.644 0.005  0.00
56 Zn 0.014 0.356 0.505  0.00
57 Zn 0.285 0.261 0.259  0.01
58 Zn 0.429 0.140 0.004  0.00
59 Zn 0.571 0.640 0.496  0.00
60 Zn 0.514 0.144 0.495  0.00
61 H 0.193 0.090 0.363  0.00
62 H 0.693 0.410 0.637  0.00
63 H 0.243 0.362 0.785  0.00
64 H 0.092 0.627 0.180  0.00
65 H 0.022 0.250 0.138  0.00
66 H 0.679 0.619 0.729  -0.01
67 H 0.908 0.127 0.320  0.00
68 H 0.478 0.750 0.638  0.00
69 H 0.592 0.873 0.820  0.00
70 H 0.257 0.638 0.285  0.00
71 H 0.522 0.250 0.862  0.00
72 H 0.379 0.894 0.643  0.00
73 H 0.821 0.381 0.229  -0.01
74 H 0.621 0.394 0.857  0.00
75 H 0.542 0.030 0.245  0.00
76 H 0.121 0.106 0.143  0.00
77 H 0.978 0.750 0.362  0.00
78 H 0.757 0.862 0.715  0.00
79 H 0.321 0.119 0.771  -0.01
80 H 0.408 0.373 0.680  0.00
81 H 0.743 0.138 0.215  0.00
82 H 0.458 0.530 0.255  0.00
83 H 0.958 0.970 0.745  0.00
84 H 0.307 0.910 0.863  0.00
85 H 0.807 0.590 0.137  0.00
86 H 0.179 0.881 0.271  -0.01
87 H 0.879 0.606 0.357  0.00
88 H 0.042 0.470 0.755  0.00
89 P 0.532 0.406 0.406  0.00
90 P 0.553 0.893 0.401  0.00
91 P 0.032 0.094 0.594  0.00
92 P 0.468 0.906 0.094  0.00
93 P 0.947 0.107 0.901  0.00
94 P 0.968 0.594 0.906  0.00
95 P 0.053 0.607 0.599  0.00
96 P 0.447 0.393 0.099  0.00



Compound: RbHg3Au
Source: Alexandria
Functional: SCAN
Structure: single point on PBEsol structure

**Calculated formation energy**: -0.237 eV/atom
**DOS at the Fermi energy**: 0.338 states/eV/atom
**Symmetry**: Pm-3m (221)

Cell lengths 5.368, 5.368, 5.368 Å; angles 90.00, 90.00, 90.00 degrees
Fractional positions:
1 Hg 0.500 0.000 0.000
2 Hg 0.000 0.500 0.000
3 Hg 0.000 0.000 0.500
4 Rb 0.500 0.500 0.500
5 Au 0.000 0.000 0.000



Compound: LiSbI2Br
Source: Alexandria
Functional: SCAN
Structure: single point on PBEsol structure

**DOS at the Fermi energy**: 0.684 states/eV/atom
**Symmetry**: P4/mmm (123)

Cell lengths 5.055, 5.055, 5.480 Å; angles 90.00, 90.00, 90.00 degrees
Fractional positions:
1 I 0.000 0.500 0.000
2 I 0.500 0.000 0.000
3 Sb 0.000 0.000 0.500
4 Li 0.000 0.000 0.000
5 Br 0.500 0.500 0.500



Compound: Mo2Se
Source: Alexandria
Functional: SCAN
Structure: single point on PBEsol structure

**DOS at the Fermi energy**: 1.144 states/eV/atom
**Symmetry**: P4/mmm (123)

Cell lengths 3.601, 3.601, 4.132 Å; angles 90.00, 90.00, 90.00 degrees
Fractional positions:
1 Mo 0.000 0.500 0.500
2 Mo 0.500 0.000 0.500
3 Se 0.000 0.000 0.000



Compound: Nb2O5
Source: Alexandria
Functional: SCAN
Structure: single point on PBEsol structure

**DOS at the Fermi energy**: 0.000 states/eV/atom
**Symmetry**: I4/mmm (139)

Cell lengths 3.835, 14.658, 14.658 Å; angles 89.02, 82.48, 82.48 degrees
Fractional positions:
1 Nb 0.132 0.868 0.868
2 Nb 0.733 0.402 0.132
3 Nb 0.733 0.132 0.402
4 Nb 0.000 0.132 0.868
5 Nb 0.868 0.132 0.132
6 Nb 0.000 0.401 0.599
7 Nb 0.401 0.599 0.599
8 Nb 0.599 0.401 0.401
9 Nb 0.135 0.598 0.132
10 Nb 0.000 0.868 0.132
11 Nb 0.135 0.132 0.598
12 Nb 0.865 0.402 0.868
13 Nb 0.000 0.599 0.401
14 Nb 0.267 0.868 0.598
15 Nb 0.267 0.598 0.868
16 Nb 0.865 0.868 0.402
17 O 0.649 0.561 0.142
18 O 0.934 0.566 0.566
19 O 0.931 0.417 0.721
20 O 0.794 0.413 0.000
21 O 0.069 0.279 0.583
22 O 0.790 0.858 0.561
23 O 0.500 0.566 0.434
24 O 0.210 0.859 0.721
25 O 0.500 0.434 0.566
26 O 0.206 0.000 0.587
27 O 0.069 0.583 0.279
28 O 0.351 0.858 0.439
29 O 0.790 0.141 0.279
30 O 0.930 0.000 0.140
31 O 0.500 0.855 0.145
32 O 0.652 0.279 0.417
33 O 0.210 0.721 0.859
34 O 0.931 0.721 0.417
35 O 0.649 0.142 0.561
36 O 0.355 0.145 0.145
37 O 0.206 0.587 0.000
38 O 0.210 0.142 0.439
39 O 0.070 0.860 0.000
40 O 0.069 0.141 0.721
41 O 0.210 0.439 0.142
42 O 0.348 0.721 0.583
43 O 0.931 0.279 0.859
44 O 0.645 0.855 0.855
45 O 0.500 0.145 0.855
46 O 0.348 0.583 0.721
47 O 0.066 0.434 0.434
48 O 0.930 0.140 0.000
49 O 0.790 0.561 0.858
50 O 0.794 0.000 0.413
51 O 0.351 0.439 0.858
52 O 0.931 0.859 0.279
53 O 0.790 0.279 0.141
54 O 0.069 0.721 0.141
55 O 0.070 0.000 0.860
56 O 0.652 0.417 0.279



Compound: LaTlPb
Source: Alexandria
Functional: SCAN
Structure: single point on PBEsol structure

**Calculated formation energy**: -0.664 eV/atom
**DOS at the Fermi energy**: 0.185 states/eV/atom
**Symmetry**: P3m1 (156)

Cell lengths 4.463, 4.843, 4.843 Å; angles 120.00, 90.00, 90.00 degrees
Fractional positions:
1 La 0.014 0.000 0.000
2 Tl 0.360 0.667 0.333
3 Pb 0.626 0.333 0.667



Total energy values (in eV per atom) by entry order: -67.887, -26.450, -21.594, -19.243, -6.398, -23.350, -22.600, -22.940, -8.258, -59.116, -26.466, -29.232, -16.626, -64.412.
Total magnetic moment values (in μB/cell) by entry order: 0.00, 0.00, 0.00, 0.00, 0.00, 0.00, 0.00, 1.71, 4.06, 0.00, 0.00, 0.00, 0.00, 0.00.
Theoretical density values (in g cm⁻³) by entry order: 9.68, 5.22, 6.36, 6.92, 1.51, 7.04, 5.54, 5.81, 3.24, 9.49, 5.48, 8.39, 4.36, 10.08.